Computed, not measured: crystalline LaPuSc2 at its relaxed geometry at the GGA-PBE level of DFT.

```
4
Lattice="-0.719 1.614 -2.879 -1.441 -1.671 -2.559 -10.714 2.561 2.130" Properties=species:S:1:pos:R:3 pbc="T T T"
Sc -8.362 1.954 1.202
Sc -3.081 0.591 -0.881
Pu -1.449 -0.035 -3.622
La -6.419 1.248 -1.661
```

excess energy over the best structure of this formula in the dataset: 10 meV/atom
E: -7.845 eV/atom
space group: No. 160
formation energy from the elements: 0.14 eV per atom